# 1
Dy6Ho3Er2 | Alexandria | GGA-PBE | optimized geometry; symmetry = R-3m (166); E_tot = -0.3358 Ry/atom; polymorph energy (0 for the lowest one) = 0 meV/atom; Fermi-level density of states = 14.82 states/eV/cell; energy of formation = 20 meV/atom
1.0
1.762 1.017 31.550
-1.762 1.017 31.550
0.000 -2.035 31.550
Dy Ho Er
6 3 2
direct
0.091 0.091 0.091
0.182 0.182 0.182
0.364 0.364 0.364
0.636 0.636 0.636
0.818 0.818 0.818
0.909 0.909 0.909
0.000 0.000 0.000
0.273 0.273 0.273
0.727 0.727 0.727
0.455 0.455 0.455
0.545 0.545 0.545

---

# 2
PaInNi6 | Alexandria | GGA-PBE | optimized geometry; symmetry = P-6m2 (187); E_tot = -0.4521 Ry/atom; polymorph energy (0 for the lowest one) = 9 meV/atom; Fermi-level density of states = 3.12 states/eV/cell; energy of formation = -286 meV/atom
1.0
5.364 0.000 0.000
-2.682 4.645 0.000
0.000 0.000 4.377
Pa In Ni
1 1 6
direct
0.000 0.000 0.000
0.333 0.667 0.500
0.354 0.177 0.500
0.508 0.017 0.000
0.508 0.492 0.000
0.823 0.177 0.500
0.823 0.646 0.500
0.983 0.492 0.000

---

# 3
LaTaSbI2 | Alexandria | GGA-PBE | optimized geometry; symmetry = P4/mmm (123); E_form (uncorrected) = 0.094 eV/atom; E_tot = -0.3459 Ry/atom; Fermi-level density of states = 7.15 states/eV/cell
1.0
5.452 0.000 0.000
0.000 5.452 0.000
0.000 0.000 5.494
La Ta Sb I
1 1 1 2
direct
0.000 0.000 0.000
0.500 0.500 0.500
0.500 0.500 0.000
0.000 0.500 0.500
0.500 0.000 0.500

---

# 4
RbZnCu2 | Alexandria | GGA-PBE | optimized geometry; symmetry = I4_1/amd (141); E_tot = -0.1706 Ry/atom; Fermi-level density of states = 3.71 states/eV/cell; energy of formation = 287 meV/atom
1.0
-2.509 2.509 8.473
2.509 -2.509 8.473
2.509 2.509 -8.473
Rb Zn Cu
2 2 4
direct
0.375 0.625 0.750
0.625 0.375 0.250
0.125 0.875 0.250
0.875 0.125 0.750
0.000 0.000 0.000
0.000 0.000 0.500
0.000 0.500 0.000
0.500 0.000 0.500

---

# 5
AlPtBr2N | Alexandria | GGA-PBE | optimized geometry; symmetry = P4/mmm (123); E_form (uncorrected) = 0.538 eV/atom; E_tot = -0.2758 Ry/atom; Fermi-level density of states = 7.66 states/eV/cell
1.0
5.291 0.000 0.000
0.000 5.291 0.000
0.000 0.000 3.473
Al Pt Br N
1 1 2 1
direct
0.000 0.000 0.000
0.500 0.500 0.500
0.000 0.500 0.000
0.500 0.000 0.000
0.000 0.000 0.500

---

# 6
SrTlSeBr2 | Alexandria | GGA-PBE | optimized geometry; symmetry = P4/mmm (123); E_form (uncorrected) = -1.023 eV/atom; E_tot = -0.2351 Ry/atom; polymorph energy (0 for the lowest one) = 0 meV/atom; Fermi-level density of states = 5.98 states/eV/cell
1.0
5.935 0.000 0.000
0.000 5.935 0.000
0.000 0.000 6.058
Sr Tl Se Br
1 1 1 2
direct
0.000 0.000 0.000
0.500 0.500 0.500
0.000 0.000 0.500
0.000 0.500 0.000
0.500 0.000 0.000

---

# 7
Pr6Dy3Ho2Tl | Alexandria | GGA-PBE | optimized geometry; symmetry = C2/m (12); E_tot = -0.3312 Ry/atom; Fermi-level density of states = 14.09 states/eV/cell; energy of formation = -6 meV/atom
1.0
3.122 -5.423 0.000
3.122 5.423 0.000
-2.111 0.000 11.676
Pr Dy Ho Tl
6 3 2 1
direct
0.083 0.411 0.748
0.245 0.245 0.251
0.411 0.083 0.748
0.589 0.917 0.252
0.755 0.755 0.749
0.917 0.589 0.252
0.168 0.832 0.000
0.500 0.500 0.000
0.832 0.168 0.000
0.333 0.667 0.500
0.667 0.333 0.500
0.000 0.000 0.500

---

# 8
Te2PbS | Alexandria | GGA-PBE | optimized geometry; symmetry = R-3m (166); E_form (uncorrected) = 0.186 eV/atom; E_tot = -0.2458 Ry/atom; Fermi-level density of states = 4.60 states/eV/cell
1.0
2.243 1.295 8.716
-2.243 1.295 8.716
0.000 -2.589 8.716
Te Pb S
2 1 1
direct
0.096 0.096 0.096
0.904 0.904 0.904
0.500 0.500 0.500
0.000 0.000 0.000

---

# 9
RbBiRu2 | Alexandria | GGA-PBE | optimized geometry; symmetry = I-42d (122); E_tot = -0.3299 Ry/atom; Fermi-level density of states = 11.46 states/eV/cell; energy of formation = 1362 meV/atom
1.0
-4.008 4.008 3.250
4.008 -4.008 3.250
4.008 4.008 -3.250
Rb Bi Ru
2 2 4
direct
0.000 0.000 0.000
0.750 0.250 0.500
0.250 0.750 0.500
0.500 0.500 0.000
0.190 0.625 0.065
0.375 0.440 0.565
0.560 0.125 0.935
0.875 0.810 0.435

---

# 10
NiBi2Pb | Alexandria | GGA-PBE | optimized geometry; symmetry = I-42d (122); E_tot = -0.3002 Ry/atom; Fermi-level density of states = 3.47 states/eV/cell; energy of formation = 228 meV/atom
1.0
-3.187 3.187 6.637
3.187 -3.187 6.637
3.187 3.187 -6.637
Ni Bi Pb
2 4 2
direct
0.000 0.000 0.000
0.750 0.250 0.500
0.047 0.625 0.922
0.375 0.297 0.422
0.703 0.125 0.078
0.875 0.953 0.578
0.250 0.750 0.500
0.500 0.500 0.000

---

# 11
Ca4HgPt2Au | Alexandria | GGA-PBE | optimized geometry; symmetry = R-3m (166); E_tot = -0.2733 Ry/atom; Fermi-level density of states = 5.38 states/eV/cell; energy of formation = -760 meV/atom
1.0
2.546 1.470 8.304
-2.546 1.470 8.304
0.000 -2.940 8.304
Ca Hg Pt Au
4 1 2 1
direct
0.122 0.122 0.122
0.372 0.372 0.372
0.628 0.628 0.628
0.878 0.878 0.878
0.500 0.500 0.500
0.248 0.248 0.248
0.752 0.752 0.752
0.000 0.000 0.000

---

# 12
Nd19Ho4Er6 | Alexandria | GGA-PBE | optimized geometry; symmetry = I23 (197); E_tot = -0.3186 Ry/atom; Fermi-level density of states = 43.96 states/eV/cell; energy of formation = 365 meV/atom
1.0
-6.341 6.341 6.341
6.341 -6.341 6.341
6.341 6.341 -6.341
Nd Ho Er
19 4 6
direct
0.000 0.000 0.000
0.000 0.261 0.261
0.000 0.739 0.739
0.018 0.219 0.675
0.200 0.982 0.657
0.219 0.675 0.018
0.261 0.000 0.261
0.261 0.261 0.000
0.325 0.543 0.343
0.343 0.325 0.543
0.457 0.781 0.800
0.543 0.343 0.325
0.657 0.200 0.982
0.675 0.018 0.219
0.739 0.000 0.739
0.739 0.739 0.000
0.781 0.800 0.457
0.800 0.457 0.781
0.982 0.657 0.200
0.000 0.000 0.360
0.000 0.360 0.000
0.360 0.000 0.000
0.640 0.640 0.640
0.125 0.500 0.625
0.375 0.875 0.500
0.500 0.375 0.875
0.500 0.625 0.125
0.625 0.125 0.500
0.875 0.500 0.375

---

Please write out number 1 again, unchanged.
Dy6Ho3Er2 | Alexandria | GGA-PBE | optimized geometry; symmetry = R-3m (166); E_tot = -0.3358 Ry/atom; polymorph energy (0 for the lowest one) = 0 meV/atom; Fermi-level density of states = 14.82 states/eV/cell; energy of formation = 20 meV/atom
1.0
1.762 1.017 31.550
-1.762 1.017 31.550
0.000 -2.035 31.550
Dy Ho Er
6 3 2
direct
0.091 0.091 0.091
0.182 0.182 0.182
0.364 0.364 0.364
0.636 0.636 0.636
0.818 0.818 0.818
0.909 0.909 0.909
0.000 0.000 0.000
0.273 0.273 0.273
0.727 0.727 0.727
0.455 0.455 0.455
0.545 0.545 0.545